Compound: LiZrBr2
Source: the Alexandria database
Functional: SCAN
Structure: PBEsol geometry

Properties
The calculation puts the energy relative to the elements, uncorrected at -75.0 kJ/mol of atoms. As for the electronic total energy: -18.7790 eV/atom. The value obtained for the density is 4.872 g cm⁻³.

Unit cell a=3.418 b=5.099 c=5.356 alpha=90.00 beta=90.00 gamma=109.58
Sites, in units of the cell vectors:
1 Li 0.921 0.843 0.000
2 Br 0.570 0.139 0.500
3 Br 0.230 0.459 0.000
4 Zr 0.290 0.579 0.500

Compound: CaRuSe2
Source: the Alexandria database
Functional: SCAN
Structure: PBEsol geometry

Properties
The calculation puts the energy relative to the elements, uncorrected at -64.5 kJ/mol of atoms. As for the electronic total energy: -21.8304 eV/atom. The value obtained for the density is 6.410 g cm⁻³. Its offset from the most stable computed form is 0.361 eV/atom.

Unit cell a=3.450 b=3.654 c=6.640 alpha=105.97 beta=105.06 gamma=90.00
Sites, in units of the cell vectors:
1 Ca 0.544 0.544 0.088
2 Ru 0.296 0.796 0.592
3 Se 0.723 0.223 0.445
4 Se 0.937 0.937 0.875

Compound: CaTc2Se
Source: the Alexandria database
Functional: SCAN
Structure: PBEsol geometry

Properties
The calculation puts the energy relative to the elements, uncorrected at 53.1 kJ/mol of atoms. As for the electronic total energy: -24.4151 eV/atom. The value obtained for the density is 7.510 g cm⁻³.

Unit cell a=3.082 b=3.082 c=8.653 alpha=79.74 beta=79.74 gamma=60.00
Sites, in units of the cell vectors:
1 Se 0.000 0.000 0.000
2 Ca 0.500 0.500 0.500
3 Tc 0.265 0.265 0.205
4 Tc 0.735 0.735 0.795

Compound: Tl2AgPt2
Source: the Alexandria database
Functional: SCAN
Structure: PBEsol geometry

Properties
As for the electronic total energy: -62.9986 eV/atom. The formation energy is 0.30 eV per atom. The value obtained for the density is 14.279 g cm⁻³.

Unit cell a=4.158 b=4.158 c=6.772 alpha=107.88 beta=107.88 gamma=90.00
Sites, in units of the cell vectors:
1 Pt 0.398 0.398 0.796
2 Pt 0.602 0.602 0.204
3 Tl 0.250 0.750 0.500
4 Ag 0.000 0.000 0.000
5 Tl 0.750 0.250 0.500